Here is an optimized crystal structure of SmMg2GaPd2 from the Alexandria database. Energies are from GGA-PBE.

The symmetry is No. 139. Its crystal system is tetragonal. The value obtained for the formation energy is -0.356 eV/atom.

Unit cell a=5.114 b=5.114 c=6.417 alpha=113.48 beta=113.48 gamma=90.00
Atoms (fractional coordinates):
Pd 0.227 0.227 0.453
Pd 0.773 0.773 0.547
Ga 0.000 0.000 0.000
Sm 0.500 0.500 0.000
Mg 0.750 0.250 0.500
Mg 0.250 0.750 0.500

Here is an optimized crystal structure of ZrZn2Au from the Alexandria database. Energies are from GGA-PBE.

The symmetry is No. 8. Its crystal system is monoclinic. The value obtained for the formation energy is -0.198 eV/atom.

Unit cell a=4.764 b=4.764 c=5.320 alpha=79.09 beta=79.09 gamma=37.61
Atoms (fractional coordinates):
Au 0.256 0.256 0.231
Zn 0.002 0.002 0.982
Zn 0.742 0.742 0.790
Zr 0.500 0.500 0.496

Here is an optimized crystal structure of MgW2Br from the Alexandria database. Energies are from GGA-PBE.

The symmetry is No. 160. The value obtained for the energy above the most stable polymorph in this dataset is 35 meV per atom. Its crystal system is trigonal. The raw formation energy comes out at 0.32 eV/atom.

Unit cell a=8.782 b=8.782 c=8.782 alpha=21.52 beta=21.52 gamma=21.52
Atoms (fractional coordinates):
Br 0.500 0.500 0.500
Mg 0.750 0.750 0.750
W 0.990 0.990 0.990
W 0.259 0.259 0.259

Which magnetic moment belongs to each record? In order, 0.00; 0.00; 0.00 μB per cell.
Which N(E_F) belongs to each record? In order, 0.58; 0.70; 0.38 states/eV/atom.